Crystalline LiBeZn2 at its relaxed geometry, computed with GGA-PBEsol.

Cell: 4.771 4.771 4.771 Å, 144.61 128.20 64.31°
Sites, in units of the cell vectors:
Li: 0.000 0.000 0.000
Be: 0.500 0.500 0.000
Zn: 0.271 0.771 0.500
Zn: 0.729 0.229 0.500

Values from the calculation:
ΔE_f: 0.03 eV per atom
magnetization: 0.000 μB per cell

Crystalline BaLiIn2 at its relaxed geometry, computed with GGA-PBEsol.

Cell: 3.867 3.867 7.742 Å, 90.00 90.00 90.00°
Sites, in units of the cell vectors:
Ba: 0.000 0.000 0.000
Li: 0.500 0.500 0.664
In: 0.000 0.000 0.509
In: 0.500 0.500 0.292

Values from the calculation:
ΔE_f: -0.21 eV per atom
magnetization: 0.002 μB per cell

Crystalline Ni3OF5 at its relaxed geometry, computed with GGA-PBEsol.

Cell: 6.461 3.007 10.154 Å, 90.00 107.25 90.00°
Sites, in units of the cell vectors:
Ni: 0.000 0.000 0.000
Ni: 0.141 0.500 0.340
Ni: 0.338 0.000 0.685
Ni: 0.490 0.500 0.985
Ni: 0.676 0.000 0.329
Ni: 0.830 0.500 0.663
O: 0.375 0.500 0.797
O: 0.968 0.000 0.342
F: 0.016 0.000 0.645
F: 0.050 0.500 0.131
F: 0.289 0.500 0.543
F: 0.308 0.000 0.014
F: 0.353 0.000 0.326
F: 0.606 0.500 0.195
F: 0.644 0.000 0.681
F: 0.692 0.000 0.989
F: 0.701 0.500 0.461
F: 0.955 0.500 0.867

Values from the calculation:
magnetization: 12.844 μB per cell
E_form (uncorrected): -137 kJ/mol of atoms

Crystalline YAl2Cu at its relaxed geometry, computed with GGA-PBEsol.

Cell: 5.687 5.687 5.687 Å, 42.45 42.45 42.45°
Sites, in units of the cell vectors:
Y: 0.000 0.000 0.000
Al: 0.210 0.210 0.210
Al: 0.790 0.790 0.790
Cu: 0.500 0.500 0.500

Values from the calculation:
ΔE_f: -0.37 eV per atom
magnetization: 0.000 μB per cell

Crystalline MnFeCl3 at its relaxed geometry, computed with GGA-PBEsol.

Cell: 4.822 4.822 4.822 Å, 90.00 90.00 90.00°
Sites, in units of the cell vectors:
Mn: 0.000 0.000 0.000
Fe: 0.500 0.500 0.500
Cl: 0.000 0.000 0.500
Cl: 0.000 0.500 0.000
Cl: 0.500 0.000 0.000

Values from the calculation:
magnetization: 8.815 μB per cell
E_form (uncorrected): 6 kJ/mol of atoms

Crystalline MgZr2Cl at its relaxed geometry, computed with GGA-PBEsol.

Cell: 3.085 4.670 5.724 Å, 90.00 90.00 90.00°
Sites, in units of the cell vectors:
Mg: 0.000 0.000 0.000
Zr: 0.500 0.500 0.244
Zr: 0.500 0.500 0.756
Cl: 0.000 0.000 0.500

Values from the calculation:
magnetization: 0.000 μB per cell
E_form (uncorrected): -1 kJ/mol of atoms